First-principles (GGA-PBE) data for an optimized crystal structure of Tc2IrAu, as listed in Alexandria via LeMat-Bulk.

Calculated values
Calculated formation energy (meV/atom): 134
Space-group type: P4/mmm (123)
Uncorrected energy (eV per atom): -8.08
DOS(E_F) (states/eV per cell): 4.2

Cell lengths 2.739, 2.739, 8.130 Å; angles 90.00, 90.00, 90.00 degrees
Atoms (fractional coordinates):
1 Tc 0.000 0.000 0.987
2 Tc 0.000 0.000 0.513
3 Ir 0.500 0.500 0.750
4 Au 0.500 0.500 0.250